# 1
# GGA-PBE Ca2InCuAu6, relaxed
# E_form: -14.88 kJ/mol of atoms
# Calculated volume: 1019.6 Å³/cell
# E: -32.04 eV/f.u.
# Calculated density: 9.4 Mg/m³
# Size of the total moment: 0.00 μB per cell
data_Ca2InCuAu6
_cell_length_a 10.065
_cell_length_b 10.065
_cell_length_c 10.065
_cell_angle_alpha 90.00
_cell_angle_beta 90.00
_cell_angle_gamma 90.00
_space_group_name_H-M_alt 'F m -3 m'
_space_group_IT_number 225
_space_group_name_Hall '-F 4 2 3'
loop_
_atom_site_label
_atom_site_type_symbol
_atom_site_fract_x
_atom_site_fract_y
_atom_site_fract_z
_atom_site_occupancy
Ca1 Ca 0.250 0.250 0.250 1
In1 In 0.000 0.000 0.000 1
Cu1 Cu 0.000 0.000 0.500 1
Au1 Au 0.000 0.000 0.260 1



# 2
# GGA-PBE Li2CaCuAu4, relaxed
# E_form: -44.12 kJ/mol of atoms
# Calculated volume: 438.6 Å³/cell
# E: -26.69 eV/f.u.
# Calculated density: 10.3 Mg/m³
# Size of the total moment: 0.00 μB per cell
data_Li2CaCuAu4
_cell_length_a 4.5094
_cell_length_b 4.5094
_cell_length_c 24.9055
_cell_angle_alpha 90.00
_cell_angle_beta 90.00
_cell_angle_gamma 120.00
_space_group_name_H-M_alt 'R -3 m'
_space_group_IT_number 166
_space_group_name_Hall '-R 3 2"'
loop_
_atom_site_label
_atom_site_type_symbol
_atom_site_fract_x
_atom_site_fract_y
_atom_site_fract_z
_atom_site_occupancy
Li1 Li 0.0000 0.0000 0.2383 1
Ca1 Ca 0.0000 0.0000 0.0000 1
Cu1 Cu 0.0000 0.0000 0.5000 1
Au1 Au 0.0000 0.0000 0.1289 1
Au2 Au 0.0000 0.0000 0.3957 1



# 3
# GGA-PBE NaCaCuAu, relaxed
# E_form: -21.81 kJ/mol of atoms
# Calculated volume: 355.1 Å³/cell
# E: -11.60 eV/f.u.
# Calculated density: 6.1 Mg/m³
# Size of the total moment: 0.00 μB per cell
data_NaCaCuAu
_cell_length_a 7.082
_cell_length_b 7.082
_cell_length_c 7.082
_cell_angle_alpha 90.00
_cell_angle_beta 90.00
_cell_angle_gamma 90.00
_space_group_name_H-M_alt 'F -4 3 m'
_space_group_IT_number 216
_space_group_name_Hall 'F -4 2 3'
loop_
_atom_site_label
_atom_site_type_symbol
_atom_site_fract_x
_atom_site_fract_y
_atom_site_fract_z
_atom_site_occupancy
Na1 Na 0.000 0.000 0.000 1
Ca1 Ca 0.000 0.000 0.500 1
Cu1 Cu 0.250 0.250 0.750 1
Au1 Au 0.250 0.250 0.250 1



# 4
# GGA-PBE NaCaCu2Au, relaxed
# E_form: 94.48 kJ/mol of atoms
# Calculated volume: 194.1 Å³/cell
# E: -9.89 eV/f.u.
# Calculated density: 3.3 Mg/m³
# Size of the total moment: 0.00 μB per cell
data_NaCaCu2Au
_cell_length_a 5.158
_cell_length_b 5.158
_cell_length_c 7.297
_cell_angle_alpha 90.00
_cell_angle_beta 90.00
_cell_angle_gamma 90.00
_space_group_name_H-M_alt 'P 4/m m m'
_space_group_IT_number 123
_space_group_name_Hall '-P 4 2'
loop_
_atom_site_label
_atom_site_type_symbol
_atom_site_fract_x
_atom_site_fract_y
_atom_site_fract_z
_atom_site_occupancy
Na1 Na 0.000 0.000 0.000 1
Ca1 Ca 0.000 0.000 0.500 1
Cu1 Cu 0.000 0.500 0.500 1
Au1 Au 0.500 0.500 0.000 1



# 5
# GGA-PBE CaCu2NiAu, relaxed
# E_form: 140.02 kJ/mol of atoms
# Calculated volume: 124.5 Å³/cell
# E: -12.00 eV/f.u.
# Calculated density: 5.6 Mg/m³
# Size of the total moment: 1.08 μB per cell
data_CaCu2NiAu
_cell_length_a 4.888
_cell_length_b 4.888
_cell_length_c 5.212
_cell_angle_alpha 90.00
_cell_angle_beta 90.00
_cell_angle_gamma 90.00
_space_group_name_H-M_alt 'P 4/m m m'
_space_group_IT_number 123
_space_group_name_Hall '-P 4 2'
loop_
_atom_site_label
_atom_site_type_symbol
_atom_site_fract_x
_atom_site_fract_y
_atom_site_fract_z
_atom_site_occupancy
Ca1 Ca 0.000 0.000 0.000 1
Cu1 Cu 0.000 0.500 0.000 1
Ni1 Ni 0.500 0.500 0.500 1
Au1 Au 0.000 0.000 0.500 1



# 6
# GGA-PBE CaCuNiAu3, relaxed
# E_form: -12.90 kJ/mol of atoms
# Calculated volume: 472.4 Å³/cell
# E: -22.51 eV/f.u.
# Calculated density: 10.6 Mg/m³
# Size of the total moment: 0.00 μB per cell
data_CaCuNiAu3
_cell_length_a 6.951
_cell_length_b 12.287
_cell_length_c 5.531
_cell_angle_alpha 90.00
_cell_angle_beta 90.00
_cell_angle_gamma 90.00
_space_group_name_H-M_alt 'C m c m'
_space_group_IT_number 63
_space_group_name_Hall '-C 2c 2'
loop_
_atom_site_label
_atom_site_type_symbol
_atom_site_fract_x
_atom_site_fract_y
_atom_site_fract_z
_atom_site_occupancy
Ca1 Ca 0.000 0.214 0.250 1
Cu1 Cu 0.000 0.142 0.750 1
Ni1 Ni 0.000 0.442 0.250 1
Au1 Au 0.000 0.346 0.750 1
Au2 Au 0.205 0.000 0.000 1



# 7
# GGA-PBE CaCu2AuO4, relaxed
# Raw formation energy: -82.88 kJ/mol of atoms
# Calculated volume: 192.9 Å³/cell
# E: -40.18 eV/f.u.
# Calculated density: 7.4 Mg/m³
# Size of the total moment: 0.00 μB per cell
data_CaCu2AuO4
_cell_length_a 5.495
_cell_length_b 5.495
_cell_length_c 6.388
_cell_angle_alpha 90.00
_cell_angle_beta 90.00
_cell_angle_gamma 90.00
_space_group_name_H-M_alt 'I -4 2 m'
_space_group_IT_number 121
_space_group_name_Hall 'I -4 2'
loop_
_atom_site_label
_atom_site_type_symbol
_atom_site_fract_x
_atom_site_fract_y
_atom_site_fract_z
_atom_site_occupancy
Ca1 Ca 0.000 0.000 0.000 1
Cu1 Cu 0.000 0.500 0.250 1
Au1 Au 0.000 0.000 0.500 1
O1 O 0.238 0.238 0.741 1



# 8
# GGA-PBE Ca2CuPAu, relaxed
# E_form: -50.78 kJ/mol of atoms
# Calculated volume: 128.3 Å³/cell
# E: -19.42 eV/f.u.
# Calculated density: 4.8 Mg/m³
# Size of the total moment: 0.00 μB per cell
data_Ca2CuPAu
_cell_length_a 5.484
_cell_length_b 5.484
_cell_length_c 4.267
_cell_angle_alpha 90.00
_cell_angle_beta 90.00
_cell_angle_gamma 90.00
_space_group_name_H-M_alt 'P 4/m m m'
_space_group_IT_number 123
_space_group_name_Hall '-P 4 2'
loop_
_atom_site_label
_atom_site_type_symbol
_atom_site_fract_x
_atom_site_fract_y
_atom_site_fract_z
_atom_site_occupancy
Ca1 Ca 0.000 0.500 0.000 1
Cu1 Cu 0.000 0.000 0.500 1
P1 P 0.000 0.000 0.000 1
Au1 Au 0.500 0.500 0.500 1



- Which of these has the lowest calculated volume?
  CaCu2NiAu